# SCAN SrLi2Al, PBEsol geometry
data_SrLi2Al
_chemical_formula_sum 'Sr2 Li4 Al2'
_symmetry_space_group_name_H-M 'C 1 m 1'
_symmetry_Int_Tables_number 8
_cell_length_a 8.216
_cell_length_b 4.733
_cell_length_c 6.117
_cell_angle_alpha 90.00
_cell_angle_beta 116.41
_cell_angle_gamma 90.00
loop_
_symmetry_equiv_pos_as_xyz
'x,y,z'
'x,-y,z'
'x+1/2,y+1/2,z'
'x+1/2,-y+1/2,z'
loop_
_atom_site_label
_atom_site_fract_x
_atom_site_fract_y
_atom_site_fract_z
_atom_site_occupancy
Sr1 0.000 0.000 0.000 1
Li1 0.191 0.000 0.575 1
Li2 0.488 0.000 0.466 1
Al1 0.296 0.500 0.389 1
# Crystal system   monoclinic
# E   -8.751 eV/atom